A plane-wave DFT calculation with PBE was carried out for crystalline TbMgNi2P2 at its relaxed geometry.

E_form = -904 meV per atom
density of states at the Fermi level = 2.48 states/eV per cell
calculated volume = 15.80 Å³/atom

Structure (POSCAR):
```
TbMgNi2P2
1.0
3.856 0.000 0.000
-1.928 3.340 0.000
0.000 0.000 7.360
Tb Mg Ni P
1 1 2 2
Direct
0.000 0.000 0.000
0.000 0.000 0.500
0.333 0.667 0.721
0.667 0.333 0.279
0.333 0.667 0.257
0.667 0.333 0.743
```